[1]
# PBE-GGA MnCuOs2, optimized geometry
# - total magnetization (μB per formula unit) = 0.0
# - calculated density (g/cm3) = 13.97
# - electronic total energy (eV/atom) = -8.127
# - excess energy over the best structure of this formula in the dataset (meV/atom) = 646
data_MnCuOs2
_chemical_formula_sum 'Mn4 Cu4 Os8'
_space_group_name_H-M_alt 'I -4 2 d'
_space_group_IT_number 122
_space_group_name_Hall 'I -4 2bw'
_cell_length_a 6.9354
_cell_length_b 6.9354
_cell_length_c 4.9335
_cell_angle_alpha 90.00
_cell_angle_beta 90.00
_cell_angle_gamma 90.00
loop_
_atom_site_label
_atom_site_type_symbol
_atom_site_fract_x
_atom_site_fract_y
_atom_site_fract_z
Mn1 Mn 0.0000 0.0000 0.0000
Cu1 Cu 0.0000 0.0000 0.5000
Os1 Os 0.1939 0.2500 0.1250



[2]
# PBE-GGA MnCu2Os, optimized geometry
# - total magnetization (μB per formula unit) = 3.2
# - calculated density (g/cm3) = 11.78
# - electronic total energy (eV/atom) = -6.847
# - excess energy over the best structure of this formula in the dataset (meV/atom) = 131
data_MnCu2Os
_chemical_formula_sum 'Mn3 Cu6 Os3'
_space_group_name_H-M_alt 'R -3 m'
_space_group_IT_number 166
_space_group_name_Hall '-R 3 2"'
_cell_length_a 2.6448
_cell_length_b 2.6448
_cell_length_c 25.9775
_cell_angle_alpha 90.00
_cell_angle_beta 90.00
_cell_angle_gamma 120.00
loop_
_atom_site_label
_atom_site_type_symbol
_atom_site_fract_x
_atom_site_fract_y
_atom_site_fract_z
Mn1 Mn 0.0000 0.0000 0.0000
Cu1 Cu 0.0000 0.0000 0.2517
Os1 Os 0.0000 0.0000 0.5000



[3]
# PBE-GGA MnCu2Os, optimized geometry
# - total magnetization (μB per formula unit) = 2.9
# - calculated density (g/cm3) = 11.71
# - electronic total energy (eV/atom) = -6.752
# - excess energy over the best structure of this formula in the dataset (meV/atom) = 226
data_MnCu2Os
_chemical_formula_sum 'Mn2 Cu4 Os2'
_space_group_name_H-M_alt 'C m m m'
_space_group_IT_number 65
_space_group_name_Hall '-C 2 2'
_cell_length_a 2.7136
_cell_length_b 4.3982
_cell_length_c 8.8498
_cell_angle_alpha 90.00
_cell_angle_beta 90.00
_cell_angle_gamma 90.00
loop_
_atom_site_label
_atom_site_type_symbol
_atom_site_fract_x
_atom_site_fract_y
_atom_site_fract_z
Mn1 Mn 0.0000 0.0000 0.0000
Cu1 Cu 0.0000 0.5000 0.2425
Os1 Os 0.0000 0.0000 0.5000



[4]
# PBE-GGA MnCuOs2, optimized geometry
# - total magnetization (μB per formula unit) = 1.9
# - calculated density (g/cm3) = 15.47
# - electronic total energy (eV/atom) = -8.730
# - excess energy over the best structure of this formula in the dataset (meV/atom) = 43
data_MnCuOs2
_chemical_formula_sum 'Mn2 Cu2 Os4'
_space_group_name_H-M_alt 'C 1 2/m 1'
_space_group_IT_number 12
_cell_length_a 8.6884
_cell_length_b 2.6766
_cell_length_c 4.6879
_cell_angle_alpha 90.00
_cell_angle_beta 100.65
_cell_angle_gamma 90.00
loop_
_space_group_symop_operation_xyz
'x,y,z'
'-x,-y,-z'
'-x,y,-z'
'x,-y,z'
'x+1/2,y+1/2,z'
'-x+1/2,-y+1/2,-z'
'-x+1/2,y+1/2,-z'
'x+1/2,-y+1/2,z'
loop_
_atom_site_label
_atom_site_type_symbol
_atom_site_fract_x
_atom_site_fract_y
_atom_site_fract_z
Mn1 Mn 0.0000 0.0000 0.0000
Cu1 Cu 0.0000 0.5000 0.5000
Os1 Os 0.2425 0.5000 0.2465



[5]
# PBE-GGA MnCuOs2, optimized geometry
# - total magnetization (μB per formula unit) = 2.1
# - calculated density (g/cm3) = 15.53
# - electronic total energy (eV/atom) = -8.642
# - excess energy over the best structure of this formula in the dataset (meV/atom) = 131
data_MnCuOs2
_chemical_formula_sum 'Mn1 Cu1 Os2'
_space_group_name_H-M_alt 'P 4/m m m'
_space_group_IT_number 123
_space_group_name_Hall '-P 4 2'
_cell_length_a 3.7813
_cell_length_b 3.7813
_cell_length_c 3.7318
_cell_angle_alpha 90.00
_cell_angle_beta 90.00
_cell_angle_gamma 90.00
loop_
_atom_site_label
_atom_site_type_symbol
_atom_site_fract_x
_atom_site_fract_y
_atom_site_fract_z
Mn1 Mn 0.0000 0.0000 0.0000
Cu1 Cu 0.5000 0.5000 0.0000
Os1 Os 0.0000 0.5000 0.5000



[6]
# PBE-GGA MnCu2Os, optimized geometry
# - total magnetization (μB per formula unit) = 3.1
# - calculated density (g/cm3) = 11.87
# - electronic total energy (eV/atom) = -6.867
# - excess energy over the best structure of this formula in the dataset (meV/atom) = 111
data_MnCu2Os
_chemical_formula_sum 'Mn1 Cu2 Os1'
_space_group_name_H-M_alt 'P m m m'
_space_group_IT_number 47
_cell_length_a 2.7564
_cell_length_b 4.2963
_cell_length_c 4.3981
_cell_angle_alpha 90.00
_cell_angle_beta 90.00
_cell_angle_gamma 90.00
loop_
_space_group_symop_operation_xyz
'x,y,z'
'-x,-y,-z'
'-x,-y,z'
'x,y,-z'
'x,-y,-z'
'-x,y,z'
'-x,y,-z'
'x,-y,z'
loop_
_atom_site_label
_atom_site_type_symbol
_atom_site_fract_x
_atom_site_fract_y
_atom_site_fract_z
Mn1 Mn 0.0000 0.0000 0.0000
Cu1 Cu 0.0000 0.5000 0.5000
Cu2 Cu 0.5000 0.0000 0.5000
Os1 Os 0.5000 0.5000 0.0000



[7]
# PBE-GGA MnCuOs2, optimized geometry
# - total magnetization (μB per formula unit) = 3.0
# - calculated density (g/cm3) = 15.27
# - electronic total energy (eV/atom) = -8.759
# - excess energy over the best structure of this formula in the dataset (meV/atom) = 14
data_MnCuOs2
_chemical_formula_sum 'Mn1 Cu1 Os2'
_space_group_name_H-M_alt 'P m m 2'
_space_group_IT_number 25
_cell_length_a 2.7328
_cell_length_b 3.7768
_cell_length_c 5.2565
_cell_angle_alpha 90.00
_cell_angle_beta 90.00
_cell_angle_gamma 90.00
loop_
_space_group_symop_operation_xyz
'x,y,z'
'-x,-y,z'
'-x,y,z'
'x,-y,z'
loop_
_atom_site_label
_atom_site_type_symbol
_atom_site_fract_x
_atom_site_fract_y
_atom_site_fract_z
Mn1 Mn 0.0000 0.0000 0.0000
Cu1 Cu 0.5000 0.5000 0.7684
Os1 Os 0.0000 0.0000 0.5008
Os2 Os 0.5000 0.5000 0.2711



[8]
# PBE-GGA MnCu2Os, optimized geometry
# - total magnetization (μB per formula unit) = 0.0
# - calculated density (g/cm3) = 12.56
# - electronic total energy (eV/atom) = -6.574
# - excess energy over the best structure of this formula in the dataset (meV/atom) = 404
data_MnCu2Os
_chemical_formula_sum 'Mn4 Cu8 Os4'
_space_group_name_H-M_alt 'F m -3 m'
_space_group_IT_number 225
_space_group_name_Hall '-F 4 2 3'
_cell_length_a 5.8172
_cell_length_b 5.8172
_cell_length_c 5.8172
_cell_angle_alpha 90.00
_cell_angle_beta 90.00
_cell_angle_gamma 90.00
loop_
_atom_site_label
_atom_site_type_symbol
_atom_site_fract_x
_atom_site_fract_y
_atom_site_fract_z
Mn1 Mn 0.0000 0.0000 0.0000
Cu1 Cu 0.2500 0.2500 0.2500
Os1 Os 0.0000 0.0000 0.5000



[9]
# PBE-GGA MnCuOs2, optimized geometry
# - total magnetization (μB per formula unit) = 2.1
# - calculated density (g/cm3) = 15.75
# - electronic total energy (eV/atom) = -8.614
# - excess energy over the best structure of this formula in the dataset (meV/atom) = 159
data_MnCuOs2
_chemical_formula_sum 'Mn1 Cu1 Os2'
_space_group_name_H-M_alt 'P 4/m m m'
_space_group_IT_number 123
_space_group_name_Hall '-P 4 2'
_cell_length_a 3.0304
_cell_length_b 3.0304
_cell_length_c 5.7271
_cell_angle_alpha 90.00
_cell_angle_beta 90.00
_cell_angle_gamma 90.00
loop_
_atom_site_label
_atom_site_type_symbol
_atom_site_fract_x
_atom_site_fract_y
_atom_site_fract_z
Mn1 Mn 0.0000 0.0000 0.0000
Cu1 Cu 0.0000 0.0000 0.5000
Os1 Os 0.5000 0.5000 0.2497



[10]
# PBE-GGA MnCuOs2, optimized geometry
# - total magnetization (μB per formula unit) = 0.4
# - calculated density (g/cm3) = 15.91
# - electronic total energy (eV/atom) = -8.664
# - excess energy over the best structure of this formula in the dataset (meV/atom) = 109
data_MnCuOs2
_chemical_formula_sum 'Mn1 Cu1 Os2'
_space_group_name_H-M_alt 'P 4/m m m'
_space_group_IT_number 123
_space_group_name_Hall '-P 4 2'
_cell_length_a 2.6604
_cell_length_b 2.6604
_cell_length_c 7.3580
_cell_angle_alpha 90.00
_cell_angle_beta 90.00
_cell_angle_gamma 90.00
loop_
_atom_site_label
_atom_site_type_symbol
_atom_site_fract_x
_atom_site_fract_y
_atom_site_fract_z
Mn1 Mn 0.0000 0.0000 0.0000
Cu1 Cu 0.0000 0.0000 0.5000
Os1 Os 0.5000 0.5000 0.2399



[11]
# PBE-GGA MnCuOs2, optimized geometry
# - total magnetization (μB per formula unit) = 2.7
# - calculated density (g/cm3) = 15.10
# - electronic total energy (eV/atom) = -8.582
# - excess energy over the best structure of this formula in the dataset (meV/atom) = 191
data_MnCuOs2
_chemical_formula_sum 'Mn1 Cu1 Os2'
_space_group_name_H-M_alt 'P 1 2/m 1'
_space_group_IT_number 10
_cell_length_a 2.6322
_cell_length_b 4.3726
_cell_length_c 4.7774
_cell_angle_alpha 90.00
_cell_angle_beta 93.91
_cell_angle_gamma 90.00
loop_
_space_group_symop_operation_xyz
'x,y,z'
'-x,-y,-z'
'-x,y,-z'
'x,-y,z'
loop_
_atom_site_label
_atom_site_type_symbol
_atom_site_fract_x
_atom_site_fract_y
_atom_site_fract_z
Mn1 Mn 0.0000 0.0000 0.0000
Cu1 Cu 0.5000 0.0000 0.5000
Os1 Os 0.2425 0.5000 0.7476



[12]
# PBE-GGA MnCuOs, optimized geometry
# - total magnetization (μB per formula unit) = 1.6
# - calculated density (g/cm3) = 11.77
# - electronic total energy (eV/atom) = -7.611
# - excess energy over the best structure of this formula in the dataset (meV/atom) = 354
data_MnCuOs
_chemical_formula_sum 'Mn4 Cu4 Os4'
_space_group_name_H-M_alt 'F -4 3 m'
_space_group_IT_number 216
_space_group_name_Hall 'F -4 2 3'
_cell_length_a 5.5847
_cell_length_b 5.5847
_cell_length_c 5.5847
_cell_angle_alpha 90.00
_cell_angle_beta 90.00
_cell_angle_gamma 90.00
loop_
_atom_site_label
_atom_site_type_symbol
_atom_site_fract_x
_atom_site_fract_y
_atom_site_fract_z
Mn1 Mn 0.0000 0.0000 0.0000
Cu1 Cu 0.2500 0.2500 0.7500
Os1 Os 0.2500 0.2500 0.2500



Sequential energy of formation output: 77.60 29.00 38.17 19.43 27.89 27.08 16.61 55.36 30.61 25.81 33.72 53.51 kJ/mol of atoms